Density functional theory data (PBE-GGA) for a geometry-optimized U4SiNi7 structure.

Computed properties:
**Formation energy (no corrections)**: -0.336 eV per atom

Cell: 5.051 5.051 7.923 Å, 90.00 90.00 120.00°
Positions (direct):
U (0.333, 0.667, 0.081)
U (0.333, 0.667, 0.449)
U (0.667, 0.333, 0.551)
U (0.667, 0.333, 0.919)
Si (0.000, 0.000, 0.000)
Ni (0.000, 0.000, 0.500)
Ni (0.168, 0.335, 0.755)
Ni (0.168, 0.832, 0.755)
Ni (0.335, 0.168, 0.245)
Ni (0.665, 0.832, 0.755)
Ni (0.832, 0.168, 0.245)
Ni (0.832, 0.665, 0.245)


Density functional theory data (PBE-GGA) for a geometry-optimized USi2Ni5 structure.

Computed properties:
**Formation energy (no corrections)**: -0.436 eV per atom

Cell: 5.888 5.888 5.888 Å, 144.49 112.55 78.60°
Positions (direct):
U (0.000, 0.000, 0.000)
Si (0.254, 0.754, 0.500)
Si (0.746, 0.246, 0.500)
Ni (0.165, 0.356, 0.810)
Ni (0.454, 0.644, 0.810)
Ni (0.500, 0.000, 0.500)
Ni (0.546, 0.356, 0.190)
Ni (0.835, 0.644, 0.190)


Density functional theory data (PBE-GGA) for a geometry-optimized USiNi4 structure.

Computed properties:
**Formation energy (no corrections)**: -0.255 eV per atom

Cell: 4.844 4.844 4.844 Å, 60.00 60.00 60.00°
Positions (direct):
U (0.000, 0.000, 0.000)
Si (0.250, 0.250, 0.250)
Ni (0.128, 0.624, 0.624)
Ni (0.624, 0.128, 0.624)
Ni (0.624, 0.624, 0.128)
Ni (0.624, 0.624, 0.624)